A plane-wave DFT calculation with PBE was carried out for a relaxed YAlTl crystal. Values from VASP.

```
&SYSTEM
  ibrav = 0, nat = 3, ntyp = 3
/
ATOMIC_SPECIES
Y 88.91 Y.upf
Tl 204.38 Tl.upf
Al 26.98 Al.upf
ATOMIC_POSITIONS angstrom
Y 0.0767 -5.2143 1.3749
Tl -1.3150 -2.1640 1.7222
Al 0.0144 -0.0450 0.0276
CELL_PARAMETERS angstrom
-2.6022 0.5602 2.2697
-0.5596 -1.9356 -2.8596
1.9380 -6.0478 3.7146
```

Output
Total moment: 0.00 μB per cell
Excess energy over the best structure of this formula in the dataset: 323 meV/atom
SG: P3m1 (156)
E: -4.1541 eV/atom
ΔE_f: 0.037 eV/atom

A plane-wave DFT calculation with PBE was carried out for a relaxed LaSm12Er5 crystal. Values from VASP.

```
&SYSTEM
  ibrav = 0, nat = 18, ntyp = 3
/
ATOMIC_SPECIES
La 138.91 La.upf
Sm 150.36 Sm.upf
Er 167.26 Er.upf
ATOMIC_POSITIONS angstrom
La -0.0001 0.0000 0.0000
Sm -21.7141 2.1867 -1.5461
Sm -2.5961 2.0832 1.4173
Sm -19.1291 0.1090 -2.9681
Sm -5.1812 4.1608 2.8392
Sm -11.9552 1.8278 3.0265
Sm -6.8002 -2.3242 0.1787
Sm -17.5101 6.5940 -0.3075
Sm -12.3551 2.4421 -3.1554
Sm -10.4199 2.7155 -0.1034
Sm -18.3039 3.3461 -1.6325
Sm -6.0063 0.9238 1.5036
Sm -13.8904 1.5544 -0.0255
Er -7.0474 3.8888 -0.2028
Er -9.3711 -0.2367 1.5976
Er -14.9392 4.5066 -1.7265
Er -15.7531 1.2897 -3.0708
Er -7.8759 0.6430 -1.5343
CELL_PARAMETERS angstrom
-13.4133 5.4403 -4.8819
-10.2155 -3.5077 0.2768
-0.6813 2.3373 4.4763
```

Output
Total moment: 0.00 μB per cell
SG: Cmmm (65)
E: -4.6660 eV/atom
ΔE_f: 0.021 eV/atom

A plane-wave DFT calculation with PBE was carried out for a relaxed AgPb2Au7 crystal. Values from VASP.

```
&SYSTEM
  ibrav = 0, nat = 10, ntyp = 3
/
ATOMIC_SPECIES
Ag 107.87 Ag.upf
Pb 207.20 Pb.upf
Au 196.97 Au.upf
ATOMIC_POSITIONS angstrom
Ag -0.8171 1.1934 2.4248
Pb 8.8749 5.3166 2.0179
Pb 3.0928 0.5789 2.4011
Au 10.8009 3.4138 3.6034
Au 3.7385 3.4276 1.2167
Au 1.1669 2.4817 0.8156
Au 8.2292 2.4680 3.2023
Au 6.3924 2.3510 0.9971
Au 0.0000 0.0000 0.0000
Au 5.5753 3.5445 3.4219
CELL_PARAMETERS angstrom
-1.4725 3.5636 1.0375
-0.1618 -1.1767 3.8122
12.7849 4.7021 1.9941
```

Output
Total moment: 0.00 μB per cell
SG: P-4m2 (115)
E: -3.3146 eV/atom
ΔE_f: 0.006 eV/atom

A plane-wave DFT calculation with PBE was carried out for a relaxed Cd3Pb5 crystal. Values from VASP.

```
&SYSTEM
  ibrav = 0, nat = 8, ntyp = 2
/
ATOMIC_SPECIES
Cd 112.41 Cd.upf
Pb 207.20 Pb.upf
ATOMIC_POSITIONS angstrom
Cd 3.3745 3.5063 0.0000
Cd 5.1191 1.8272 2.3966
Cd 1.6299 5.1853 2.3966
Pb 0.0000 0.0000 0.0000
Pb -0.0885 3.4621 0.0000
Pb 3.4630 0.0441 0.0000
Pb 1.7502 1.8186 2.3966
Pb 4.9988 5.1940 2.3966
CELL_PARAMETERS angstrom
6.9260 0.0883 0.0000
-0.1770 6.9243 0.0000
0.0000 0.0000 4.7932
```

Output
Total moment: 0.00 μB per cell
Excess energy over the best structure of this formula in the dataset: 9 meV/atom
SG: Cmmm (65)
E: -2.6190 eV/atom
ΔE_f: 0.042 eV/atom

A plane-wave DFT calculation with PBE was carried out for a relaxed Ba2CeBiO6 crystal. Values from VASP.

```
&SYSTEM
  ibrav = 0, nat = 10, ntyp = 4
/
ATOMIC_SPECIES
Ba 137.33 Ba.upf
Ce 140.12 Ce.upf
Bi 208.98 Bi.upf
O 16.00 O.upf
ATOMIC_POSITIONS angstrom
Ba 0.0000 0.0000 6.6477
Ba 0.0000 0.0000 2.2656
Ce 2.2239 2.2239 0.0000
Bi 2.2239 2.2239 4.4566
O 2.2239 0.0000 0.0000
O 2.2239 0.0000 4.4566
O 0.0000 2.2239 0.0000
O 0.0000 2.2239 4.4566
O 2.2239 2.2239 6.6805
O 2.2239 2.2239 2.2328
CELL_PARAMETERS angstrom
4.4478 0.0000 0.0000
0.0000 4.4478 0.0000
0.0000 0.0000 8.9133
```

Output
Total moment: 0.00 μB per cell
SG: P4/mmm (123)
E: -6.8042 eV/atom

A plane-wave DFT calculation with PBE was carried out for a relaxed DyTh6Fe3 crystal. Values from VASP.

```
&SYSTEM
  ibrav = 0, nat = 20, ntyp = 3
/
ATOMIC_SPECIES
Dy 162.50 Dy.upf
Th 232.04 Th.upf
Fe 55.84 Fe.upf
ATOMIC_POSITIONS angstrom
Dy 2.9058 -3.2225 4.0384
Dy -1.5100 -6.4440 2.4132
Th 1.9149 -6.4616 3.1045
Th -0.7216 -6.5180 5.8365
Th 2.6229 -5.9711 6.3772
Th -1.9022 -9.3869 4.4845
Th 3.3372 -1.2414 7.5017
Th 0.5361 -3.1850 6.6690
Th -4.6945 -7.8555 3.0490
Th -3.5266 -8.8171 -0.1178
Th -0.0257 -1.1018 3.9217
Th -4.5509 -4.5176 2.0291
Th 0.3505 -3.5855 1.6542
Th -2.2860 -3.6419 4.3862
Fe 0.5956 -8.4907 4.3796
Fe -1.6854 -7.9147 7.9823
Fe 0.4678 -4.3581 4.4163
Fe -3.2527 -6.3426 4.4939
Fe -4.6214 -2.5170 5.2604
Fe -2.3405 -3.0930 1.6577
CELL_PARAMETERS angstrom
-6.0512 -1.4970 3.5586
0.3608 -8.0393 -2.7685
4.4391 -0.7850 7.2182
```

Output
Total moment: 0.00 μB per cell
SG: Cmc2_1 (36)
E: -7.4585 eV/atom
ΔE_f: -0.008 eV/atom

Please write out number 6 again, unchanged.
A plane-wave DFT calculation with PBE was carried out for a relaxed DyTh6Fe3 crystal. Values from VASP.

```
&SYSTEM
  ibrav = 0, nat = 20, ntyp = 3
/
ATOMIC_SPECIES
Dy 162.50 Dy.upf
Th 232.04 Th.upf
Fe 55.84 Fe.upf
ATOMIC_POSITIONS angstrom
Dy 2.9058 -3.2225 4.0384
Dy -1.5100 -6.4440 2.4132
Th 1.9149 -6.4616 3.1045
Th -0.7216 -6.5180 5.8365
Th 2.6229 -5.9711 6.3772
Th -1.9022 -9.3869 4.4845
Th 3.3372 -1.2414 7.5017
Th 0.5361 -3.1850 6.6690
Th -4.6945 -7.8555 3.0490
Th -3.5266 -8.8171 -0.1178
Th -0.0257 -1.1018 3.9217
Th -4.5509 -4.5176 2.0291
Th 0.3505 -3.5855 1.6542
Th -2.2860 -3.6419 4.3862
Fe 0.5956 -8.4907 4.3796
Fe -1.6854 -7.9147 7.9823
Fe 0.4678 -4.3581 4.4163
Fe -3.2527 -6.3426 4.4939
Fe -4.6214 -2.5170 5.2604
Fe -2.3405 -3.0930 1.6577
CELL_PARAMETERS angstrom
-6.0512 -1.4970 3.5586
0.3608 -8.0393 -2.7685
4.4391 -0.7850 7.2182
```

Output
Total moment: 0.00 μB per cell
SG: Cmc2_1 (36)
E: -7.4585 eV/atom
ΔE_f: -0.008 eV/atom

Copy entry 4 word for word.
A plane-wave DFT calculation with PBE was carried out for a relaxed Cd3Pb5 crystal. Values from VASP.

```
&SYSTEM
  ibrav = 0, nat = 8, ntyp = 2
/
ATOMIC_SPECIES
Cd 112.41 Cd.upf
Pb 207.20 Pb.upf
ATOMIC_POSITIONS angstrom
Cd 3.3745 3.5063 0.0000
Cd 5.1191 1.8272 2.3966
Cd 1.6299 5.1853 2.3966
Pb 0.0000 0.0000 0.0000
Pb -0.0885 3.4621 0.0000
Pb 3.4630 0.0441 0.0000
Pb 1.7502 1.8186 2.3966
Pb 4.9988 5.1940 2.3966
CELL_PARAMETERS angstrom
6.9260 0.0883 0.0000
-0.1770 6.9243 0.0000
0.0000 0.0000 4.7932
```

Output
Total moment: 0.00 μB per cell
Excess energy over the best structure of this formula in the dataset: 9 meV/atom
SG: Cmmm (65)
E: -2.6190 eV/atom
ΔE_f: 0.042 eV/atom

The highest E belongs to which entry? Cd3Pb5